a) Entry from the Alexandria database: a relaxed BaLi2Ca crystal (PBEsol).

Properties
As for the density: 2.17 g cm⁻³.

```
data_BaLi2Ca
_symmetry_space_group_name_H-M 'A m m 2'
_symmetry_Int_Tables_number 38
_cell_length_a 5.129
_cell_length_b 4.384
_cell_length_c 12.996
_cell_angle_alpha 90.00
_cell_angle_beta 90.00
_cell_angle_gamma 90.00
loop_
_symmetry_equiv_pos_as_xyz
'x,y,z'
'-x,-y,z'
'-x,y,z'
'x,-y,z'
'x,y+1/2,z+1/2'
'-x,-y+1/2,z+1/2'
'-x,y+1/2,z+1/2'
'x,-y+1/2,z+1/2'
loop_
_atom_site_label
_atom_site_type_symbol
_atom_site_fract_x
_atom_site_fract_y
_atom_site_fract_z
_atom_site_occupancy
Ba1 Ba 0.000 0.000 0.000 1
Li1 Li 0.000 0.000 0.274 1
Li2 Li 0.500 0.000 0.403 1
Ca1 Ca 0.500 0.000 0.700 1
```

b) Entry from the Alexandria database: a relaxed BaLi2Ca crystal (PBEsol).

Properties
As for the density: 2.29 g cm⁻³.

```
data_BaLi2Ca
_symmetry_space_group_name_H-M 'P 4 m m'
_symmetry_Int_Tables_number 99
_cell_length_a 3.950
_cell_length_b 3.950
_cell_length_c 8.901
_cell_angle_alpha 90.00
_cell_angle_beta 90.00
_cell_angle_gamma 90.00
loop_
_symmetry_equiv_pos_as_xyz
'x,y,z'
'-y,x,z'
'-x,-y,z'
'y,-x,z'
'-x,y,z'
'y,x,z'
'x,-y,z'
'-y,-x,z'
loop_
_atom_site_label
_atom_site_type_symbol
_atom_site_fract_x
_atom_site_fract_y
_atom_site_fract_z
_atom_site_occupancy
Ba1 Ba 0.000 0.000 0.000 1
Li1 Li 0.000 0.000 0.584 1
Li2 Li 0.500 0.500 0.723 1
Ca1 Ca 0.500 0.500 0.348 1
```

Consider the structures shown above. The least stable of them is a).